Record 1
The following is a meta-GGA SCAN calculation of a crystal of YAlTc relaxed with PBEsol, from the Alexandria database.

Unit cell a=5.4279 b=5.4279 c=5.4279 alpha=143.60 beta=143.60 gamma=52.43
With the nearest neighbours (Å) after each atom.
Positions (direct):
Y: 0.0000 0.0000 0.0000  5 Al 2.84-3.14, 5 Tc 3.02-3.03
Al: 0.7079 0.7079 0.0000  4 Tc 2.60, 1 Y 2.84
Tc: 0.3108 0.3108 0.0000  4 Al 2.60

Properties
- symmetry = I4mm (107)
- theoretical density (g/cm3) = 6.343
- DFT formation energy (eV per atom) = -0.30

=====

Record 2
The following is a meta-GGA SCAN calculation of a crystal of Al2ZnTc relaxed with PBEsol, from the Alexandria database.

Unit cell a=8.7563 b=8.7563 c=8.7563 alpha=18.52 beta=18.52 gamma=18.52
With the nearest neighbours (Å) after each atom.
Positions (direct):
Al: 0.0000 0.0000 0.0000  3 Zn 2.72, 9 Al 2.80-2.82
Al: 0.2448 0.2448 0.2448  3 Tc 2.61, 9 Al 2.80-2.82
Zn: 0.7511 0.7511 0.7511  3 Tc 2.66, 3 Al 2.72, 6 Zn 2.82
Tc: 0.4993 0.4993 0.4993  3 Al 2.61, 3 Zn 2.66, 6 Tc 2.82

Properties
- symmetry = R3m (160)
- theoretical density (g/cm3) = 6.103
- DFT formation energy (eV per atom) = -0.01

=====

Record 3
The following is a meta-GGA SCAN calculation of a crystal of Al2ZnTc relaxed with PBEsol, from the Alexandria database.

Unit cell a=4.9241 b=4.9241 c=4.9241 alpha=140.33 beta=132.47 gamma=63.58
With the nearest neighbours (Å) after each atom.
Positions (direct):
Al: 0.0000 0.0000 0.0000  4 Zn 2.59, 2 Tc 2.65, 4 Al 2.74-2.82
Al: 0.7400 0.2400 0.5000  4 Tc 2.59, 2 Zn 2.65, 4 Al 2.74-2.82
Zn: 0.4946 0.4946 0.0000  6 Al 2.59-2.65, 4 Tc 2.67-2.89
Tc: 0.2460 0.7460 0.5000  6 Al 2.59-2.65, 4 Zn 2.67-2.89

Properties
- symmetry = Imm2 (44)
- theoretical density (g/cm3) = 6.502
- DFT formation energy (eV per atom) = -0.43

=====

Record 4
The following is a meta-GGA SCAN calculation of a crystal of Al2ZnTc relaxed with PBEsol, from the Alexandria database.

Unit cell a=4.7678 b=4.7678 c=4.7678 alpha=133.41 beta=133.41 gamma=68.00
With the nearest neighbours (Å) after each atom.
Positions (direct):
Al: 0.2500 0.7500 0.5000  4 Al 2.67, 4 Tc 2.73, 4 Zn 2.73
Al: 0.7500 0.2500 0.5000  4 Al 2.67, 4 Tc 2.73, 4 Zn 2.73
Zn: 0.0000 0.0000 0.0000  4 Tc 2.67, 8 Al 2.73
Tc: 0.5000 0.5000 0.0000  4 Zn 2.67, 8 Al 2.73

Properties
- symmetry = I4/mmm (139)
- theoretical density (g/cm3) = 6.423
- DFT formation energy (eV per atom) = -0.39

=====

Record 5
The following is a meta-GGA SCAN calculation of a crystal of Al2ZnTc relaxed with PBEsol, from the Alexandria database.

Unit cell a=3.2315 b=3.2315 c=5.4526 alpha=90.00 beta=90.00 gamma=90.00
With the nearest neighbours (Å) after each atom.
Positions (direct):
Al: 0.0000 0.0000 0.2360  2 Al 2.57-2.88, 4 Tc 2.62, 4 Zn 2.70
Al: 0.0000 0.0000 0.7640  2 Al 2.57-2.88, 4 Tc 2.62, 4 Zn 2.70
Zn: 0.5000 0.5000 0.5000  8 Al 2.70, 2 Tc 2.73
Tc: 0.5000 0.5000 0.0000  8 Al 2.62, 2 Zn 2.73

Properties
- symmetry = P4/mmm (123)
- theoretical density (g/cm3) = 6.339
- DFT formation energy (eV per atom) = -0.40

=====

Record 6
The following is a meta-GGA SCAN calculation of a crystal of Al2ZnTc relaxed with PBEsol, from the Alexandria database.

Unit cell a=4.8789 b=4.8789 c=4.8789 alpha=135.70 beta=135.70 gamma=64.44
With the nearest neighbours (Å) after each atom.
Positions (direct):
Al: 0.0000 0.0000 0.0000  4 Tc 2.60, 4 Al 2.76, 4 Zn 2.76
Al: 0.7500 0.2500 0.5000  4 Zn 2.60, 4 Tc 2.76, 4 Al 2.76
Zn: 0.2500 0.7500 0.5000  8 Al 2.60-2.76, 4 Tc 2.76
Tc: 0.5000 0.5000 0.0000  8 Al 2.60-2.76, 4 Zn 2.76

Properties
- symmetry = I-4m2 (119)
- theoretical density (g/cm3) = 6.461
- DFT formation energy (eV per atom) = -0.41

=====

Record 7
The following is a meta-GGA SCAN calculation of a crystal of ZrAl2Tc relaxed with PBEsol, from the Alexandria database.

Unit cell a=9.1937 b=9.1937 c=9.1937 alpha=18.26 beta=18.26 gamma=18.26
With the nearest neighbours (Å) after each atom.
Positions (direct):
Zr: 0.0000 0.0000 0.0000  6 Zr 2.92, 6 Al 3.03
Al: 0.2403 0.2403 0.2403  3 Tc 2.61, 6 Al 2.92
Al: 0.7597 0.7597 0.7597  3 Tc 2.61, 6 Al 2.92
Tc: 0.5000 0.5000 0.5000  6 Al 2.61, 6 Tc 2.92

Properties
- symmetry = R-3m (166)
- theoretical density (g/cm3) = 6.062
- energy above the lowest structure with this stoichiometry (meV/atom) = 272
- DFT formation energy (eV per atom) = -0.17

=====

Record 8
The following is a meta-GGA SCAN calculation of a crystal of ZrAl2Tc relaxed with PBEsol, from the Alexandria database.

Unit cell a=2.9484 b=4.3658 c=5.0798 alpha=90.00 beta=97.52 gamma=90.00
With the nearest neighbours (Å) after each atom.
Positions (direct):
Zr: 0.0000 0.0000 0.0000  6 Al 2.67-2.89, 2 Tc 2.76, 2 Zr 2.95
Al: 0.5493 0.0000 0.5092  2 Al 2.62, 2 Zr 2.67-2.87, 2 Tc 2.67
Al: 0.5669 0.5000 0.2253  2 Al 2.62, 3 Tc 2.76-2.82, 4 Zr 2.84-2.89
Tc: 0.1842 0.5000 0.6995  7 Al 2.67-2.95, 2 Zr 2.76, 2 Tc 2.95

Properties
- symmetry = Pm (6)
- theoretical density (g/cm3) = 6.230
- energy above the lowest structure with this stoichiometry (meV/atom) = 73
- DFT formation energy (eV per atom) = -0.37

=====

What is the formula in the fourth record? Al2ZnTc

=====

Which of these has the lowest DFT formation energy? number 3